# Sc2CrTc, relaxed, DFT PBE-GGA
data_Sc2CrTc
_chemical_formula_sum 'Sc4 Cr2 Tc2'
_cell_length_a 3.3775
_cell_length_b 4.8338
_cell_length_c 8.7213
_cell_angle_alpha 90.00
_cell_angle_beta 90.00
_cell_angle_gamma 90.00
_space_group_name_H-M_alt 'I m m m'
_space_group_IT_number 71
_space_group_name_Hall '-I 2 2'
loop_
_atom_site_label
_atom_site_fract_x
_atom_site_fract_y
_atom_site_fract_z
_atom_site_occupancy
Sc1 0.0000 0.0000 0.2315 1
Cr1 0.0000 0.5000 0.0000 1
Tc1 0.0000 0.5000 0.5000 1
# * density: 5.60 Mg/m³
# * formation energy from the elements: 0.180 eV/atom
# * volume: 17.80 A^3/atom
# * VASP energy: -63.87 eV/cell
# * Fermi-level density of states: 1.1212 states/eV per atom
# * size of the total moment: 0.7080 μB/atom